# Y2IrPt

An optimized crystal structure of Y2IrPt (PBE, the Alexandria database).

The structure belongs to space group Amm2 (No. 38); the cell edges are 4.322, 3.831 and 10.672 Å and the angles 90.00°, 90.00° and 90.00°. Symmetry generates all atoms from Y at (0.000, 0.000, 0.000), Y at (0.500, 0.000, 0.286), Ir at (0.000, 0.000, 0.729) and Pt at (0.500, 0.000, 0.560).

The calculation puts the energy relative to the elements at -4.04 eV per formula unit. The value obtained for the spin magnetization is 0.0 μB/cell. The value obtained for the density is 10624 kg/m3.

# Y3Ir2Pt

An optimized crystal structure of Y3Ir2Pt (PBE, the Alexandria database).

The structure belongs to space group P4/mmm (No. 123); the cell edges are 3.501, 3.501 and 10.122 Å and the angles 90.00°, 90.00° and 90.00°. Symmetry generates all atoms from Y at (0.000, 0.000, 0.000), Y at (0.000, 0.000, 0.327), Ir at (0.500, 0.500, 0.167) and Pt at (0.500, 0.500, 0.500).

The calculation puts the energy relative to the elements at -5.53 eV per formula unit. The value obtained for the spin magnetization is 0.0 μB/cell. The value obtained for the density is 11329 kg/m3.

# Y2Ir2Pt

An optimized crystal structure of Y2Ir2Pt (PBE, the Alexandria database).

The structure belongs to space group P4/mbm (No. 127); the cell edges are 7.051, 7.051 and 4.082 Å and the angles 90.00°, 90.00° and 90.00°. Symmetry generates all atoms from Y at (0.179, 0.321, 0.000), Ir at (0.129, 0.629, 0.500) and Pt at (0.000, 0.000, 0.500).

The calculation puts the energy relative to the elements at -3.89 eV per formula unit. The value obtained for the spin magnetization is 0.0 μB/cell. The value obtained for the density is 12394 kg/m3.

# Y5Ir4Pt

An optimized crystal structure of Y5Ir4Pt (PBE, the Alexandria database).

The structure belongs to space group P4/mmm (No. 123); the cell edges are 3.405, 3.405 and 17.686 Å and the angles 90.00°, 90.00° and 90.00°. Symmetry generates all atoms from Y at (0.000, 0.000, 0.000), Y at (0.000, 0.000, 0.199), Y at (0.000, 0.000, 0.397), Ir at (0.500, 0.500, 0.100), Ir at (0.500, 0.500, 0.299) and Pt at (0.500, 0.500, 0.500).

The calculation puts the energy relative to the elements at -8.64 eV per formula unit. The value obtained for the spin magnetization is 0.0 μB/cell. The value obtained for the density is 11409 kg/m3.

# Y3Ir2Pt

An optimized crystal structure of Y3Ir2Pt (PBE, the Alexandria database).

The structure belongs to space group Cmmm (No. 65); the cell edges are 4.964, 14.892 and 3.352 Å and the angles 90.00°, 90.00° and 90.00°. Symmetry generates all atoms from Y at (0.000, 0.000, 0.000), Y at (0.000, 0.331, 0.000), Ir at (0.000, 0.166, 0.500) and Pt at (0.000, 0.500, 0.500).

The calculation puts the energy relative to the elements at -5.54 eV per formula unit. The value obtained for the spin magnetization is 0.0 μB/cell. The value obtained for the density is 11343 kg/m3.

# Y2IrPt

An optimized crystal structure of Y2IrPt (PBE, the Alexandria database).

The structure belongs to space group I-42d (No. 122); the cell edges are 7.547, 7.547 and 6.245 Å and the angles 90.00°, 90.00° and 90.00°. Symmetry generates all atoms from Y at (0.243, 0.250, 0.125), Ir at (0.000, 0.000, 0.000) and Pt at (0.000, 0.000, 0.500).

The calculation puts the energy relative to the elements at -2.23 eV per formula unit. The value obtained for the spin magnetization is 0.0 μB/cell. The value obtained for the density is 10553 kg/m3.

# YIrPt

An optimized crystal structure of YIrPt (PBE, the Alexandria database).

The structure belongs to space group F-43m (No. 216); the cell edges are 6.416, 6.416 and 6.416 Å and the angles 90.00°, 90.00° and 90.00°. Symmetry generates all atoms from Y at (0.000, 0.000, 0.000), Ir at (0.000, 0.000, 0.500) and Pt at (0.250, 0.250, 0.250).

The calculation puts the energy relative to the elements at -0.87 eV per formula unit. The value obtained for the spin magnetization is 2.0 μB/cell. The value obtained for the density is 11977 kg/m3.

# Y8Ir2Pt

An optimized crystal structure of Y8Ir2Pt (PBE, the Alexandria database).

The structure belongs to space group Cm (No. 8); the cell edges are 8.501, 12.491 and 5.960 Å and the angles 90.00°, 107.91° and 90.00°. Symmetry generates all atoms from Y at (0.000, 0.000, 0.000), Y at (0.066, 0.368, 0.793), Y at (0.153, 0.132, 0.591), Y at (0.225, 0.500, 0.375), Y at (0.364, 0.219, 0.187), Ir at (0.358, 0.313, 0.685) and Pt at (0.364, 0.000, 0.022).

The calculation puts the energy relative to the elements at -5.84 eV per formula unit. The value obtained for the spin magnetization is 0.0 μB/cell. The value obtained for the density is 7119 kg/m3.

# YIrPt

An optimized crystal structure of YIrPt (PBE, the Alexandria database).

The structure belongs to space group P-6m2 (No. 187); the cell edges are 4.3559, 4.3559 and 3.7647 Å and the angles 90.00°, 90.00° and 120.00°. Symmetry generates all atoms from Y at (0.0000, 0.0000, 0.0000), Ir at (0.3333, 0.6667, 0.5000) and Pt at (0.6667, 0.3333, 0.5000).

The calculation puts the energy relative to the elements at -2.34 eV per formula unit. The value obtained for the spin magnetization is 0.0 μB/cell. The value obtained for the density is 12783 kg/m3.

# Zn8Ir2Pt

An optimized crystal structure of Zn8Ir2Pt (PBE, the Alexandria database).

The structure belongs to space group P2/m (No. 10); the cell edges are 6.478, 4.157 and 6.539 Å and the angles 90.00°, 105.38° and 90.00°. Symmetry generates all atoms from Zn at (0.031, 0.000, 0.305), Zn at (0.249, 0.500, 0.759), Zn at (0.303, 0.000, 0.032), Zn at (0.331, 0.500, 0.332), Ir at (0.375, 0.000, 0.624) and Pt at (0.000, 0.500, 0.000).

The calculation puts the energy relative to the elements at -2.42 eV per formula unit. The value obtained for the spin magnetization is 0.0 μB/cell. The value obtained for the density is 10786 kg/m3.

# ZnIrPt2

An optimized crystal structure of ZnIrPt2 (PBE, the Alexandria database).

The structure belongs to space group R-3m (No. 166, hexagonal axes); the cell edges are 2.7907, 2.7907 and 26.6078 Å and the angles 90.00°, 90.00° and 120.00°. Symmetry generates all atoms from Zn at (0.0000, 0.0000, 0.0000), Ir at (0.0000, 0.0000, 0.5000) and Pt at (0.0000, 0.0000, 0.2528).

The calculation puts the energy relative to the elements at -0.61 eV per formula unit. The value obtained for the spin magnetization is 3.3 μB/cell. The value obtained for the density is 17982 kg/m3.

# Zn2IrPt

An optimized crystal structure of Zn2IrPt (PBE, the Alexandria database).

The structure belongs to space group Cmmm (No. 65); the cell edges are 2.883, 4.763 and 8.625 Å and the angles 90.00°, 90.00° and 90.00°. Symmetry generates all atoms from Zn at (0.000, 0.000, 0.247), Ir at (0.000, 0.500, 0.000) and Pt at (0.000, 0.500, 0.500).

The calculation puts the energy relative to the elements at -0.84 eV per formula unit. The value obtained for the spin magnetization is 0.0 μB/cell. The value obtained for the density is 14531 kg/m3.

# ZnIr4Pt

An optimized crystal structure of ZnIr4Pt (PBE, the Alexandria database).

The structure belongs to space group F-43m (No. 216); the cell edges are 7.301, 7.301 and 7.301 Å and the angles 90.00°, 90.00° and 90.00°. Symmetry generates all atoms from Zn at (0.000, 0.000, 0.000), Ir at (0.125, 0.125, 0.625) and Pt at (0.250, 0.250, 0.250).

The calculation puts the energy relative to the elements at 3.06 eV per formula unit. The value obtained for the spin magnetization is 0.0 μB/cell. The value obtained for the density is 17568 kg/m3.

# Zn2IrPt

An optimized crystal structure of Zn2IrPt (PBE, the Alexandria database).

The structure belongs to space group Immm (No. 71); the cell edges are 2.678, 4.725 and 10.162 Å and the angles 90.00°, 90.00° and 90.00°. Symmetry generates all atoms from Zn at (0.000, 0.000, 0.250), Ir at (0.000, 0.000, 0.000) and Pt at (0.000, 0.000, 0.500).

The calculation puts the energy relative to the elements at 0.53 eV per formula unit. The value obtained for the spin magnetization is 0.4 μB/cell. The value obtained for the density is 13379 kg/m3.